Entry 1:
The following is a DFT calculation (PBE) of crystalline MgIrBr6 at its relaxed geometry.

Output
- Calculated volume: 299.0 Å³ per cell
- Raw formation energy: -643 meV per atom
- N(E_F): 7.65 states/eV/f.u.

Geometry as POSCAR:
```
MgIrBr6
1.0
4.0959 -5.7651 0.0000
4.0959 5.7651 0.0000
-1.5086 0.0000 6.3312
Mg Ir Br
1 1 6
direct
0.0000 0.0000 0.0000
0.0000 0.0000 0.5000
0.0255 0.7227 0.2338
0.2529 0.2529 0.3462
0.2773 0.9745 0.7662
0.7227 0.0255 0.2338
0.7471 0.7471 0.6538
0.9745 0.2773 0.7662
```

Entry 2:
The following is a DFT calculation (PBE) of crystalline TiGeTe2I at its relaxed geometry.

Output
- Offset from the most stable computed form: 0.505 eV per atom
- Calculated volume: 161.1 Å³ per cell
- Raw formation energy: 655 meV per atom
- N(E_F): 9.35 states/eV/f.u.

Geometry as POSCAR:
```
TiGeTe2I
1.0
5.4220 0.0000 0.0000
0.0000 5.4220 0.0000
0.0000 0.0000 5.4801
Ti Ge Te I
1 1 2 1
direct
0.0000 0.0000 0.0000
0.5000 0.5000 0.5000
0.0000 0.5000 0.5000
0.5000 0.0000 0.5000
0.5000 0.5000 0.0000
```

Entry 3:
The following is a DFT calculation (PBE) of crystalline ZrTe2Pt at its relaxed geometry.

Output
- Offset from the most stable computed form: 0.423 eV per atom
- Calculated volume: 88.3 Å³ per cell
- Raw formation energy: -240 meV per atom
- N(E_F): 3.15 states/eV/f.u.

Geometry as POSCAR:
```
ZrTe2Pt
1.0
0.0000 3.5349 3.5349
3.5349 0.0000 3.5349
3.5349 3.5349 0.0000
Zr Te Pt
1 2 1
direct
0.0000 0.0000 0.0000
0.2500 0.2500 0.2500
0.7500 0.7500 0.7500
0.5000 0.5000 0.5000
```

Entry 4:
The following is a DFT calculation (PBE) of crystalline PrSm at its relaxed geometry.

Output
- Offset from the most stable computed form: 0.075 eV per atom
- Calculated volume: 139.9 Å³ per cell
- N(E_F): 4.37 states/eV/f.u.

Geometry as POSCAR:
```
PrSm
1.0
6.4035 -3.0440 0.0000
6.4035 3.0440 0.0000
-1.0980 0.0000 3.5896
Pr Sm
2 2
direct
0.1290 0.1290 0.3771
0.8710 0.8710 0.6229
0.3788 0.3788 0.1295
0.6212 0.6212 0.8705
```

Entry 5:
The following is a DFT calculation (PBE) of crystalline CaV2SnN at its relaxed geometry.

Output
- Calculated volume: 153.3 Å³ per cell
- Raw formation energy: 1723 meV per atom
- N(E_F): 5.19 states/eV/f.u.

Geometry as POSCAR:
```
CaV2SnN
1.0
5.1036 0.0000 0.0000
0.0000 5.1036 0.0000
0.0000 0.0000 5.8863
Ca V Sn N
1 2 1 1
direct
0.0000 0.0000 0.0000
0.0000 0.5000 0.5000
0.5000 0.0000 0.5000
0.0000 0.0000 0.5000
0.5000 0.5000 0.0000
```

Entry 6:
The following is a DFT calculation (PBE) of crystalline RbHfS2F at its relaxed geometry.

Output
- Calculated volume: 109.3 Å³ per cell
- Raw formation energy: -2015 meV per atom
- N(E_F): 0.01 states/eV/f.u.

Geometry as POSCAR:
```
RbHfS2F
1.0
5.0528 0.0000 0.0000
0.0000 5.0528 0.0000
0.0000 0.0000 4.2822
Rb Hf S F
1 1 2 1
direct
0.0000 0.0000 0.0000
0.5000 0.5000 0.5000
0.0000 0.5000 0.5000
0.5000 0.0000 0.5000
0.5000 0.5000 0.0000
```

Entry 7:
The following is a DFT calculation (PBE) of crystalline BaScIr2 at its relaxed geometry.

Output
- Offset from the most stable computed form: 0.261 eV per atom
- Calculated volume: 230.5 Å³ per cell
- N(E_F): 2.97 states/eV/f.u.

Geometry as POSCAR:
```
BaScIr2
1.0
-2.5759 2.5759 8.6859
2.5759 -2.5759 8.6859
2.5759 2.5759 -8.6859
Ba Sc Ir
2 2 4
direct
0.3750 0.6250 0.7500
0.6250 0.3750 0.2500
0.1250 0.8750 0.2500
0.8750 0.1250 0.7500
0.0000 0.0000 0.0000
0.0000 0.0000 0.5000
0.0000 0.5000 0.0000
0.5000 0.0000 0.5000
```

Entry 8:
The following is a DFT calculation (PBE) of crystalline Na3Tm2SnO6 at its relaxed geometry.

Output
- Calculated volume: 165.6 Å³ per cell
- Raw formation energy: -2350 meV per atom
- N(E_F): 4.64 states/eV/f.u.

Geometry as POSCAR:
```
Na3Tm2SnO6
1.0
2.9230 -5.0593 0.0000
2.9230 5.0593 0.0000
-1.9517 0.0000 5.5999
Na Tm Sn O
3 2 1 6
direct
0.0000 0.0000 0.0000
0.3372 0.6628 0.0000
0.6628 0.3372 0.0000
0.1669 0.8331 0.5000
0.8331 0.1669 0.5000
0.5000 0.5000 0.5000
0.0905 0.4292 0.2885
0.2316 0.2316 0.7123
0.4292 0.0905 0.2885
0.5708 0.9095 0.7115
0.7684 0.7684 0.2877
0.9095 0.5708 0.7115
```